Below is an optimized crystal structure of Sr3ScH, with properties calculated at the GGA-PBEsol level.

Output
- Total magnetization: 1.1 μB/cell
- Energy: -3.02 eV per atom

Lattice parameters (Å, degrees): 5.4018 5.4018 5.4018 90.00 90.00 90.00
Last column: nearest neighbours and their distance in Å.
Space group Pm-3m (No. 221)
Unique sites:
1 Sr 0.0000 0.0000 0.5000 (multiplicity 3)  2 H 2.70
2 Sc 0.5000 0.5000 0.5000 (multiplicity 1)  12 Sr 3.82
3 H 0.0000 0.0000 0.0000 (multiplicity 1)  6 Sr 2.70